No. 1
Th3RuC3 after structural relaxation. Source: the Alexandria database, functional PBE-GGA.

Structure (extended XYZ):
```
14
Lattice="5.3283 0.0000 0.0000 0.0000 6.8556 -1.2298 0.0000 0.0742 6.9668" Properties=species:S:1:pos:R:3 pbc="T T T"
C 1.3321 4.0719 5.1788
C 3.9962 2.8579 0.5581
C 3.9962 5.8456 3.0326
C 1.3321 1.0842 2.7044
C 1.3321 0.8861 5.9855
C 3.9962 6.0437 -0.2485
Th 3.9962 4.0949 5.0852
Th 1.3321 6.0988 -0.3148
Th 3.9962 1.1712 2.6633
Th 1.3321 2.8349 0.6518
Th 3.9962 0.8310 6.0518
Th 1.3321 5.7586 3.0736
Ru 3.9962 4.7709 1.2898
Ru 1.3321 2.1589 4.4472
```

Symmetry: Cmcm (63)
Electronic total energy (eV per cell): -122.31

No. 2
RbMn2I6 after structural relaxation. Source: the Alexandria database, functional PBE-GGA.

Structure (extended XYZ):
```
9
Lattice="5.5014 0.0000 0.0000 -2.7507 7.9016 0.1921 0.0000 -2.3821 10.1221" Properties=species:S:1:pos:R:3 pbc="T T T"
I 0.0000 1.2335 9.0456
I 2.7507 1.1464 6.1769
I 2.7507 4.2861 1.2685
I 0.0000 0.8127 1.9744
I 0.0000 4.3731 4.1373
I 2.7507 4.7068 8.3398
Rb 0.0000 -1.1910 5.0610
Mn 0.0000 3.3946 1.7008
Mn 2.7507 2.1250 8.6133
```

Symmetry: C2/m (12)
Formation energy from raw total energies (eV/atom): -0.56
Electronic total energy (eV per cell): -33.68

No. 3
HgTe5 after structural relaxation. Source: the Alexandria database, functional PBE-GGA.

Structure (extended XYZ):
```
6
Lattice="3.2463 -8.4361 0.0000 3.2463 8.4361 0.0000 0.0000 0.0000 4.1675" Properties=species:S:1:pos:R:3 pbc="T T T"
Te 3.2463 6.2041 0.0000
Te 3.2463 -4.1208 2.0837
Te 3.2463 4.1208 2.0837
Te 0.0000 0.0000 2.0837
Te 3.2463 -6.2041 0.0000
Hg 3.2463 0.0000 0.0000
```

Polymorph energy (0 for the lowest one) (meV/atom): 15.7
Symmetry: Cmmm (65)
Formation energy from raw total energies (eV/atom): 0.13
Electronic total energy (eV per cell): -15.26

No. 4
CaTbEr4 after structural relaxation. Source: the Alexandria database, functional PBE-GGA.

Structure (extended XYZ):
```
6
Lattice="-0.6686 3.2993 5.6744 2.4623 -2.5076 5.5839 5.2638 2.7940 2.8315" Properties=species:S:1:pos:R:3 pbc="T T T"
Er 1.7587 0.8330 7.3944
Er 4.4211 2.2462 8.8266
Er 3.1757 3.5146 6.0022
Er 4.7593 0.5774 5.9564
Ca 1.7644 0.8964 3.5225
Tb 0.0000 0.0000 0.0000
```

Symmetry: F-43m (216)
Electronic total energy (eV per cell): -23.55